A plane-wave DFT calculation with PBE-GGA was carried out for Sc5CuSn after structural relaxation.

a b c (Å): 5.8642 5.8642 9.4711
angles (deg): 88.09 88.09 91.90
Positions (direct):
Sc (0.0519, 0.6176, 0.1589)
Sc (0.9481, 0.3824, 0.8411)
Sc (0.4080, 0.2265, 0.0051)
Sc (0.5920, 0.7735, 0.9949)
Sc (0.3824, 0.9481, 0.3411)
Sc (0.8700, 0.1300, 0.2500)
Sc (0.7735, 0.5920, 0.4949)
Cu (0.0000, 0.0000, 0.5000)
Sc (0.6176, 0.0519, 0.6589)
Sc (0.1300, 0.8700, 0.7500)
Sn (0.5197, 0.4803, 0.2500)
Sn (0.4803, 0.5197, 0.7500)
Sc (0.2265, 0.4080, 0.5051)
Cu (0.0000, 0.0000, 0.0000)

**Calculated total energy**: -40.7 eV/f.u.
**Calculated formation energy**: -0.14 eV/atom
**Crystal system**: monoclinic
**Magnetic moment**: 0.0 μB per cell
**DOS at the Fermi energy**: 21.337 states/eV per cell